Entry 1:
Density functional theory data (PBE) for a relaxed structure of Tm3Mg11.

## Properties
Calculated formation energy (kcal/mol of atoms): 0.18

Cell lengths 4.9738, 11.2401, 12.5287 Å; angles 90.00, 90.00, 90.00 degrees
With the nearest neighbours (Å) after each atom.
Space group Immm (No. 71)
Unique sites:
Tm: 0.0000 0.0000 0.0000 (multiplicity 2)  12 Mg 3.31-3.56, 2 Tm 3.49
Tm: 0.0000 0.0000 0.2787 (multiplicity 4)  8 Mg 3.26-3.49, 1 Tm 3.49
Mg: 0.0000 0.1527 0.5000 (multiplicity 4)  8 Mg 2.98-3.19, 2 Tm 3.26
Mg: 0.0000 0.2723 0.1448 (multiplicity 8)  6 Mg 2.98-3.19
Mg: 0.0000 0.3731 0.3678 (multiplicity 8)  5 Mg 2.85-3.01
Mg: 0.0000 0.5000 0.0000 (multiplicity 2)  8 Mg 3.02-3.14

=====

Entry 2:
Density functional theory data (PBE) for a relaxed structure of Tm3Mg.

## Properties
Polymorph energy (0 for the lowest one) (eV per atom): 0.0646
Calculated formation energy (kcal/mol of atoms): 1.01

Cell lengths 4.8994, 4.8994, 9.4237 Å; angles 90.00, 90.00, 90.00 degrees
With the nearest neighbours (Å) after each atom.
Space group I4/mmm (No. 139)
Unique sites:
Tm: 0.0000 0.0000 0.0000 (multiplicity 2)  8 Tm 3.40, 4 Mg 3.46
Tm: 0.0000 0.5000 0.2500 (multiplicity 4)  4 Mg 3.40, 8 Tm 3.40-3.46
Mg: 0.0000 0.0000 0.5000 (multiplicity 2)  12 Tm 3.40-3.46

=====

no.,Fermi-level density of states (states/eV per cell)
1,20.1
2,12.1